No. 1
Li2IrPt: single point on PBEsol structure, meta-GGA SCAN.

a b c (Å): 3.667 3.667 8.068
angles (deg): 90.00 90.00 90.00
Space group I4/mmm (No. 139)
Unique sites:
1 Li 0.000 0.500 0.250
2 Ir 0.000 0.000 0.000
3 Pt 0.000 0.000 0.500

Properties
The energy above the lowest structure with this stoichiometry is 262 meV/atom. The formation energy comes out at -1.0 eV per formula unit. The total energy comes out at -147.06 eV per formula unit. The total moment comes out at 0.00 μB per formula unit.

No. 2
Li2IrPt: single point on PBEsol structure, meta-GGA SCAN.

a b c (Å): 2.705 4.334 4.567
angles (deg): 90.00 90.00 90.00
Space group Pmmm (No. 47)
Unique sites:
1 Li 0.000 0.000 0.000
2 Li 0.500 0.000 0.500
3 Ir 0.000 0.500 0.500
4 Pt 0.500 0.500 0.000

Properties
The energy above the lowest structure with this stoichiometry is 55 meV/atom. The formation energy comes out at -1.8 eV per formula unit. The total energy comes out at -147.89 eV per formula unit. The total moment comes out at 0.24 μB per formula unit.

No. 3
LiIrPt2: single point on PBEsol structure, meta-GGA SCAN.

a b c (Å): 2.7042 2.7042 26.8721
angles (deg): 90.00 90.00 120.00
Space group R-3m (No. 166, hexagonal axes)
Unique sites:
1 Li 0.0000 0.0000 0.0000
2 Ir 0.0000 0.0000 0.5000
3 Pt 0.0000 0.0000 0.2517

Properties
The energy above the lowest structure with this stoichiometry is 251 meV/atom. The formation energy comes out at -0.8 eV per formula unit. The total energy comes out at -214.67 eV per formula unit. The total moment comes out at 0.00 μB per formula unit.

No. 4
Li2IrPt: single point on PBEsol structure, meta-GGA SCAN.

a b c (Å): 2.722 4.533 8.667
angles (deg): 90.00 90.00 90.00
Space group Cmmm (No. 65)
Unique sites:
1 Li 0.000 0.000 0.248
2 Ir 0.000 0.500 0.000
3 Pt 0.000 0.500 0.500

Properties
The energy above the lowest structure with this stoichiometry is 27 meV/atom. The formation energy comes out at -1.9 eV per formula unit. The total energy comes out at -148.00 eV per formula unit. The total moment comes out at 0.00 μB per formula unit.

No. 5
LiIrPt2: single point on PBEsol structure, meta-GGA SCAN.

a b c (Å): 2.694 4.659 9.168
angles (deg): 90.00 90.00 90.00
Space group Cmmm (No. 65)
Unique sites:
1 Li 0.000 0.000 0.000
2 Ir 0.000 0.000 0.500
3 Pt 0.000 0.500 0.241

Properties
The energy above the lowest structure with this stoichiometry is 339 meV/atom. The formation energy comes out at -0.4 eV per formula unit. The total energy comes out at -214.32 eV per formula unit. The total moment comes out at 0.00 μB per formula unit.

No. 6
Li2IrPt: single point on PBEsol structure, meta-GGA SCAN.

a b c (Å): 9.812 2.615 4.704
angles (deg): 90.00 117.59 90.00
Space group Cm (No. 8)
Unique sites:
1 Li 0.000 0.000 0.000
2 Li 0.236 0.000 0.927
3 Ir 0.250 0.500 0.449
4 Pt 0.489 0.000 0.479

Properties
The energy above the lowest structure with this stoichiometry is 34 meV/atom. The formation energy comes out at -1.9 eV per formula unit. The total energy comes out at -147.97 eV per formula unit. The total moment comes out at 0.00 μB per formula unit.

No. 7
LiIr2Pt: single point on PBEsol structure, meta-GGA SCAN.

a b c (Å): 8.983 2.688 4.591
angles (deg): 90.00 98.16 90.00
Space group C2/m (No. 12)
Unique sites:
1 Li 0.000 0.000 0.000
2 Ir 0.244 0.000 0.753
3 Pt 0.000 0.500 0.500

Properties
The formation energy comes out at -0.9 eV per formula unit. The total energy comes out at -215.64 eV per formula unit. The total moment comes out at 0.00 μB per formula unit.

No. 8
Li2IrPt: single point on PBEsol structure, meta-GGA SCAN.

a b c (Å): 2.613 4.317 4.733
angles (deg): 90.00 91.65 90.00
Space group P2/m (No. 10)
Unique sites:
1 Li 0.232 0.000 0.245
2 Ir 0.500 0.500 0.000
3 Pt 0.000 0.500 0.500

Properties
The energy above the lowest structure with this stoichiometry is 32 meV/atom. The formation energy comes out at -1.9 eV per formula unit. The total energy comes out at -147.98 eV per formula unit. The total moment comes out at 0.00 μB per formula unit.

No. 9
LiIrPt2: single point on PBEsol structure, meta-GGA SCAN.

a b c (Å): 6.080 6.080 6.080
angles (deg): 90.00 90.00 90.00
Space group F-43m (No. 216)
Unique sites:
1 Li 0.000 0.000 0.000
2 Ir 0.250 0.250 0.250
3 Pt 0.000 0.000 0.500
4 Pt 0.250 0.250 0.750

Properties
The energy above the lowest structure with this stoichiometry is 470 meV/atom. The formation energy comes out at 0.1 eV per formula unit. The total energy comes out at -213.80 eV per formula unit. The total moment comes out at 1.82 μB per formula unit.

No. 10
LiIrPt4: single point on PBEsol structure, meta-GGA SCAN.

a b c (Å): 7.278 7.278 7.278
angles (deg): 90.00 90.00 90.00
Space group F-43m (No. 216)
Unique sites:
1 Li 0.000 0.000 0.000
2 Ir 0.250 0.250 0.250
3 Pt 0.125 0.125 0.625

Properties
The formation energy comes out at 1.2 eV per formula unit. The total energy comes out at -353.05 eV per formula unit. The total moment comes out at 1.69 μB per formula unit.

No. 11
LiIrPt2: single point on PBEsol structure, meta-GGA SCAN.

a b c (Å): 5.405 7.628 2.688
angles (deg): 90.00 90.00 90.00
Space group Cmmm (No. 65)
Unique sites:
1 Li 0.000 0.000 0.000
2 Ir 0.000 0.500 0.000
3 Pt 0.250 0.250 0.500

Properties
The energy above the lowest structure with this stoichiometry is 0 meV/atom. The formation energy comes out at -1.8 eV per formula unit. The total energy comes out at -215.67 eV per formula unit. The total moment comes out at 0.00 μB per formula unit.

No. 12
Li2IrPt: single point on PBEsol structure, meta-GGA SCAN.

a b c (Å): 2.6701 2.6701 25.7683
angles (deg): 90.00 90.00 120.00
Space group R-3m (No. 166, hexagonal axes)
Unique sites:
1 Li 0.0000 0.0000 0.2505
2 Ir 0.0000 0.0000 0.0000
3 Pt 0.0000 0.0000 0.5000

Properties
The energy above the lowest structure with this stoichiometry is 0 meV/atom. The formation energy comes out at -2.0 eV per formula unit. The total energy comes out at -148.11 eV per formula unit. The total moment comes out at 0.08 μB per formula unit.